Entry 1:
Here is BaSiP2S after structural relaxation from Alexandria via LeMat-Bulk. Energies are from PBE.

Computed properties:
Its total energy is -14.768 eV per cell. The calculation puts the uncorrected formation energy at 1.505 eV/atom. As for the calculated density: 2.52 Mg/m³. The calculation puts the excess energy over the best structure of this formula in the dataset at 1.787 eV/atom.

Cell lengths 5.5297, 5.5297, 5.5897 Å; angles 90.00, 90.00, 90.00 degrees
Space group P4/mmm (No. 123)
Asymmetric unit:
Ba 0.0000 0.0000 0.0000
Si 0.5000 0.5000 0.5000
P 0.0000 0.5000 0.0000
S 0.0000 0.0000 0.5000

=====

Entry 2:
Here is Li5Eu3Cl12 after structural relaxation from Alexandria via LeMat-Bulk. Energies are from PBE.

Computed properties:
Its total energy is -829.094 eV per cell. The calculation puts the uncorrected formation energy at -2.054 eV/atom. As for the calculated density: 3.25 Mg/m³.

Cell lengths 15.5300, 15.5300, 15.5300 Å; angles 90.00, 90.00, 90.00 degrees
Space group Ia-3d (No. 230)
Asymmetric unit:
Li 0.0000 0.0000 0.0000
Li 0.0000 0.2500 0.3750
Eu 0.0000 0.2500 0.1250
Cl 0.0275 0.0611 0.6526

=====

Entry 3:
Here is Nd3AgO after structural relaxation from Alexandria via LeMat-Bulk. Energies are from PBE.

Computed properties:
Its total energy is -27.931 eV per cell. The calculation puts the uncorrected formation energy at -1.164 eV/atom. As for the calculated density: 7.62 Mg/m³.

Cell lengths 4.9497, 4.9497, 4.9497 Å; angles 90.00, 90.00, 90.00 degrees
Space group Pm-3m (No. 221)
Asymmetric unit:
Nd 0.0000 0.0000 0.5000
Ag 0.5000 0.5000 0.5000
O 0.0000 0.0000 0.0000

=====

Entry 4:
Here is Mg2AgOs after structural relaxation from Alexandria via LeMat-Bulk. Energies are from PBE.

Computed properties:
Its total energy is -16.741 eV per cell. As for the calculated density: 8.56 Mg/m³. Its formation energy is 0.5 eV per formula unit.

Cell lengths 2.7915, 4.0650, 5.9240 Å; angles 90.00, 90.00, 90.00 degrees
Space group Pmmm (No. 47)
Asymmetric unit:
Mg 0.0000 0.0000 0.2332
Ag 0.5000 0.5000 0.5000
Os 0.5000 0.5000 0.0000

=====

Entry 5:
Here is Sc2RePtS after structural relaxation from Alexandria via LeMat-Bulk. Energies are from PBE.

Computed properties:
Its total energy is -36.875 eV per cell. The calculation puts the uncorrected formation energy at -0.319 eV/atom. As for the calculated density: 8.78 Mg/m³.

Cell lengths 4.7224, 4.7224, 4.2672 Å; angles 90.00, 90.00, 90.00 degrees
Space group P4/mmm (No. 123)
Asymmetric unit:
Sc 0.0000 0.5000 0.0000
Re 0.0000 0.0000 0.5000
Pt 0.5000 0.5000 0.5000
S 0.0000 0.0000 0.0000

=====

Entry 6:
Here is Mg2NiPdPt5 after structural relaxation from Alexandria via LeMat-Bulk. Energies are from PBE.

Computed properties:
Its total energy is -172.978 eV per cell. As for the calculated density: 13.23 Mg/m³. Its formation energy is 1.1 eV per formula unit.

Cell lengths 7.4109, 7.4109, 10.8693 Å; angles 90.00, 90.00, 90.00 degrees
Space group I4/mcm (No. 140)
Asymmetric unit:
Mg 0.1110 0.3890 0.0000
Ni 0.0000 0.0000 0.2500
Pd 0.0000 0.5000 0.2500
Pt 0.0000 0.0000 0.0000
Pt 0.2074 0.2926 0.3683

=====

Entry 7:
Here is Cr2CuP after structural relaxation from Alexandria via LeMat-Bulk. Energies are from PBE.

Computed properties:
Its total energy is -28.430 eV per cell. As for the calculated density: 7.00 Mg/m³. Its formation energy is 0.3 eV per formula unit.

Cell lengths 2.6381, 3.6270, 4.9972 Å; angles 90.00, 99.94, 90.00 degrees
Space group P2/m (No. 10)
Asymmetric unit:
Cr 0.0782 0.0000 0.2749
Cu 0.5000 0.5000 0.0000
P 0.5000 0.5000 0.5000

=====

Entry 8:
Here is Os3WI after structural relaxation from Alexandria via LeMat-Bulk. Energies are from PBE.

Computed properties:
Its total energy is -32.143 eV per cell. The calculation puts the uncorrected formation energy at 3.210 eV/atom. As for the calculated density: 13.75 Mg/m³. The calculation puts the excess energy over the best structure of this formula in the dataset at 0.753 eV/atom.

Cell lengths 4.7396, 4.7396, 4.7396 Å; angles 90.00, 90.00, 90.00 degrees
Space group Pm-3m (No. 221)
Asymmetric unit:
Os 0.0000 0.0000 0.5000
W 0.5000 0.5000 0.5000
I 0.0000 0.0000 0.0000

=====

Entry 9:
Here is K3MnRh2Se6 after structural relaxation from Alexandria via LeMat-Bulk. Energies are from PBE.

Computed properties:
Its total energy is -113.116 eV per cell. The calculation puts the uncorrected formation energy at -0.707 eV/atom. As for the calculated density: 4.94 Mg/m³.

Cell lengths 6.7475, 11.6899, 7.6070 Å; angles 90.00, 107.21, 90.00 degrees
Space group C2/m (No. 12)
Asymmetric unit:
K 0.0000 0.0000 0.0000
K 0.0000 0.3346 0.0000
Mn 0.0000 0.5000 0.5000
Rh 0.0000 0.1667 0.5000
Se 0.2174 0.0000 0.6727
Se 0.2278 0.3299 0.6729

=====

Entry 10:
Here is Rb2LaTeBr after structural relaxation from Alexandria via LeMat-Bulk. Energies are from PBE.

Computed properties:
Its total energy is -14.659 eV per cell. The calculation puts the uncorrected formation energy at -0.596 eV/atom. As for the calculated density: 3.80 Mg/m³.

Cell lengths 6.1860, 6.1860, 5.9146 Å; angles 90.00, 90.00, 90.00 degrees
Space group P4/mmm (No. 123)
Asymmetric unit:
Rb 0.0000 0.5000 0.0000
La 0.0000 0.0000 0.5000
Te 0.5000 0.5000 0.5000
Br 0.0000 0.0000 0.0000

=====

Entry 11:
Here is BRu3 after structural relaxation from Alexandria via LeMat-Bulk. Energies are from PBE.

Computed properties:
Its total energy is -67.194 eV per cell. As for the calculated density: 9.76 Mg/m³. Its formation energy is 0.9 eV per formula unit.

Cell lengths 6.7142, 6.7142, 2.7370 Å; angles 90.00, 90.00, 120.00 degrees
Space group P6_3/mmc (No. 194)
Asymmetric unit:
B 0.3333 0.6667 0.2500
Ru 0.1899 0.3798 0.7500

=====

Entry 12:
Here is KVMo2 after structural relaxation from Alexandria via LeMat-Bulk. Energies are from PBE.

Computed properties:
Its total energy is -99.432 eV per cell. As for the calculated density: 4.69 Mg/m³. The calculation puts the excess energy over the best structure of this formula in the dataset at 0.156 eV/atom. Its formation energy is 7.0 eV per formula unit.

Cell lengths 4.7763, 4.7763, 17.5013 Å; angles 90.00, 90.00, 90.00 degrees
Space group I-42d (No. 122)
Asymmetric unit:
K 0.0000 0.0000 0.0000
V 0.0000 0.0000 0.5000
Mo 0.0717 0.7500 0.6250